[1]
## FeOs2Au (PBE-GGA)

Data for FeOs2Au after structural relaxation.

Theoretical density in g cm⁻³: 18.0
Crystal system: monoclinic
Symmetry: C2/m, No. 12
Formation energy in eV per atom: 0.38
Density of states at the Fermi level in states/eV per atom: 0.879

a b c (Å): 4.8550 4.8550 4.7010
angles (deg): 77.83 77.83 32.78
Last column: nearest neighbours and their distance in Å.
Sites, in units of the cell vectors:
Au 0.7500 0.7500 0.7500  4 Fe 2.72, 6 Os 2.74-2.90, 2 Au 2.74
Fe 0.2500 0.2500 0.2500  4 Os 2.57, 4 Au 2.72, 2 Fe 2.74
Os 0.5192 0.5192 0.4763  2 Fe 2.57, 6 Os 2.62-2.87, 1 Au 2.74
Os 0.9808 0.9808 0.0237  2 Fe 2.57, 6 Os 2.62-2.87, 1 Au 2.74

---

[2]
## FeOs2Au (PBE-GGA)

Data for FeOs2Au after structural relaxation.

Theoretical density in g cm⁻³: 18.0
Crystal system: orthorhombic
Symmetry: Cmmm, No. 65
Formation energy in eV per atom: 0.59
Density of states at the Fermi level in states/eV per atom: 1.173

a b c (Å): 4.7210 4.7210 2.7882
angles (deg): 90.00 90.00 110.23
Last column: nearest neighbours and their distance in Å.
Sites, in units of the cell vectors:
Au 0.5000 0.0000 0.5000  2 Fe 2.70, 8 Os 2.74, 2 Au 2.79
Os 0.5000 0.5000 0.0000  4 Os 2.70-2.79, 4 Fe 2.74, 4 Au 2.74
Fe 0.0000 0.5000 0.5000  2 Au 2.70, 8 Os 2.74, 2 Fe 2.79
Os 0.0000 0.0000 0.0000  4 Os 2.70-2.79, 4 Au 2.74, 4 Fe 2.74

---

[3]
## FeOsAu (PBE-GGA)

Data for FeOsAu after structural relaxation.

Theoretical density in g cm⁻³: 16.6
Crystal system: trigonal
Symmetry: P3m1, No. 156
Formation energy in eV per atom: 0.31
Density of states at the Fermi level in states/eV per atom: 0.976

a b c (Å): 2.7539 2.7539 6.7405
angles (deg): 90.00 90.00 120.00
Last column: nearest neighbours and their distance in Å.
Sites, in units of the cell vectors:
Fe 0.3333 0.6667 0.3493  3 Os 2.52, 6 Fe 2.75, 3 Au 2.78
Os 0.6667 0.3333 0.6398  3 Fe 2.52, 6 Os 2.75
Au 0.0000 0.0000 0.0109  6 Au 2.75, 3 Fe 2.78, 3 Os 2.96

---

[4]
## FeOs2Au (PBE-GGA)

Data for FeOs2Au after structural relaxation.

Theoretical density in g cm⁻³: 17.5
Crystal system: orthorhombic
Symmetry: Cmmm, No. 65
Formation energy in eV per atom: 0.52
Density of states at the Fermi level in states/eV per atom: 1.093

a b c (Å): 2.6949 2.6949 9.3833
angles (deg): 90.00 90.00 118.03
Last column: nearest neighbours and their distance in Å.
Sites, in units of the cell vectors:
Os 0.0000 0.0000 0.5247  2 Fe 2.53, 6 Os 2.69-2.77
Fe 0.5000 0.5000 0.7500  4 Os 2.53, 6 Fe 2.69-2.77
Au 0.5000 0.5000 0.2500  6 Au 2.69-2.77, 4 Os 2.93
Os 0.0000 0.0000 0.9753  2 Fe 2.53, 6 Os 2.69-2.77

---

[5]
## FeOs2Au (PBE-GGA)

Data for FeOs2Au after structural relaxation.

Theoretical density in g cm⁻³: 18.0
Crystal system: trigonal
Symmetry: R-3m, No. 166
Formation energy in eV per atom: 0.34
Density of states at the Fermi level in states/eV per atom: 0.905

a b c (Å): 9.2283 9.2283 9.2283
angles (deg): 16.95 16.95 16.95
Last column: nearest neighbours and their distance in Å.
Sites, in units of the cell vectors:
Os 0.0088 0.0088 0.0088  3 Fe 2.57, 6 Os 2.72
Os 0.4912 0.4912 0.4912  3 Fe 2.57, 6 Os 2.72
Au 0.2500 0.2500 0.2500  6 Au 2.72, 6 Os 2.97
Fe 0.7500 0.7500 0.7500  6 Os 2.57, 6 Fe 2.72

---

[6]
## FeOs2Au (PBE-GGA)

Data for FeOs2Au after structural relaxation.

Theoretical density in g cm⁻³: 17.7
Crystal system: tetragonal
Symmetry: P4mm, No. 99
Formation energy in eV per atom: 0.28
Density of states at the Fermi level in states/eV per atom: 0.893

a b c (Å): 2.7637 2.7637 7.7917
angles (deg): 90.00 90.00 90.00
Last column: nearest neighbours and their distance in Å.
Sites, in units of the cell vectors:
Os 0.5000 0.5000 0.2267  8 Os 2.61-2.76
Fe 0.5000 0.5000 0.7601  4 Os 2.73, 4 Fe 2.76, 4 Au 2.77
Os 0.0000 0.0000 0.0044  8 Os 2.61-2.76, 4 Fe 2.73
Au 0.0000 0.0000 0.5088  4 Au 2.76, 4 Fe 2.77, 4 Os 2.94

---

[7]
## Fe2Os2Au (PBE-GGA)

Data for Fe2Os2Au after structural relaxation.

Theoretical density in g cm⁻³: 16.6
Crystal system: tetragonal
Symmetry: P4/mbm, No. 127
Formation energy in eV per atom: 0.39
Density of states at the Fermi level in states/eV per atom: 1.139

a b c (Å): 7.2083 7.2083 2.6509
angles (deg): 90.00 90.00 90.00
Last column: nearest neighbours and their distance in Å.
Sites, in units of the cell vectors:
Fe 0.8798 0.6202 0.0000  3 Fe 2.45-2.65, 6 Os 2.49-2.53
Fe 0.3798 0.8798 0.0000  3 Fe 2.45-2.65, 6 Os 2.49-2.53
Os 0.8315 0.3315 0.5000  6 Fe 2.49-2.53, 2 Os 2.65
Os 0.3315 0.1685 0.5000  6 Fe 2.49-2.53, 2 Os 2.65
Fe 0.6202 0.1202 0.0000  3 Fe 2.45-2.65, 6 Os 2.49-2.53
Au 0.5000 0.5000 0.0000  2 Au 2.65, 4 Fe 2.87
Os 0.6685 0.8315 0.5000  6 Fe 2.49-2.53, 2 Os 2.65
Os 0.1685 0.6685 0.5000  6 Fe 2.49-2.53, 2 Os 2.65
Au 0.0000 0.0000 0.0000  2 Au 2.65, 4 Fe 2.87
Fe 0.1202 0.3798 0.0000  3 Fe 2.45-2.65, 6 Os 2.49-2.53

---

[8]
## FeOsAu (PBE-GGA)

Data for FeOsAu after structural relaxation.

Theoretical density in g cm⁻³: 16.9
Crystal system: tetragonal
Symmetry: I4mm, No. 107
Formation energy in eV per atom: 0.32
Density of states at the Fermi level in states/eV per atom: 0.943

a b c (Å): 6.0770 6.0770 6.0770
angles (deg): 153.84 153.84 37.33
Last column: nearest neighbours and their distance in Å.
Sites, in units of the cell vectors:
Os 0.3131 0.3131 0.0000  4 Fe 2.46, 4 Os 2.75
Fe 0.6816 0.6816 0.0000  4 Os 2.46, 4 Fe 2.75
Au 0.0053 0.0053 0.0000  4 Au 2.75, 4 Fe 2.81, 4 Os 2.95

---

Question: Number 1 is which compound?
Answer: FeOs2Au

---

Question: Which formula does entry 1 have?
Answer: FeOs2Au

---

Question: What is the formula in the second record?
Answer: FeOs2Au

---

Question: The lowest density of states at the Fermi level belongs to which entry?
Answer: number 1